No. 1
# Y2CuSb2 PBE-GGA optimized geometry
data_Y2CuSb2
_chemical_formula_sum 'Y4 Cu2 Sb4'
_cell_length_a 7.847
_cell_length_b 7.847
_cell_length_c 4.321
_cell_angle_alpha 90.00
_cell_angle_beta 90.00
_cell_angle_gamma 90.00
_space_group_name_H-M_alt 'P 1'
_space_group_IT_number 1
_space_group_name_Hall 'P 1'
loop_
_atom_site_label
_atom_site_fract_x
_atom_site_fract_y
_atom_site_fract_z
Y1 0.667 0.167 0.000
Y2 0.833 0.667 0.000
Cu1 0.500 0.500 0.000
Sb1 0.359 0.141 0.500
Sb2 0.859 0.359 0.500
Sb3 0.641 0.859 0.500
Sb4 0.141 0.641 0.500
Y3 0.167 0.333 0.000
Y4 0.333 0.833 0.000
Cu2 0.000 0.000 0.000
# Density of states at the Fermi level: 4.74 states/eV/f.u.
# E_form (uncorrected): -0.486 eV/atom
# Offset from the most stable computed form: 2.30 kcal/mol of atoms
# Space-group type: P4/mbm, No. 127


No. 2
# Y2CuSb PBE-GGA optimized geometry
data_Y2CuSb
_chemical_formula_sum 'Y4 Cu2 Sb2'
_cell_length_a 4.161
_cell_length_b 6.026
_cell_length_c 8.453
_cell_angle_alpha 111.38
_cell_angle_beta 90.00
_cell_angle_gamma 90.00
_space_group_name_H-M_alt 'P 1'
_space_group_IT_number 1
_space_group_name_Hall 'P 1'
loop_
_atom_site_label
_atom_site_fract_x
_atom_site_fract_y
_atom_site_fract_z
Y1 0.250 0.793 0.557
Y2 0.750 0.207 0.443
Cu1 0.750 0.652 0.291
Y3 0.250 0.782 0.089
Sb1 0.750 0.663 0.791
Cu2 0.250 0.348 0.709
Sb2 0.250 0.337 0.209
Y4 0.750 0.218 0.911
# Density of states at the Fermi level: 4.60 states/eV/f.u.
# E_form (uncorrected): -0.669 eV/atom
# Space-group type: P2_1/m, No. 11


No. 3
# YCuSb PBE-GGA optimized geometry
data_YCuSb
_chemical_formula_sum 'Y1 Cu1 Sb1'
_cell_length_a 5.934
_cell_length_b 5.934
_cell_length_c 5.934
_cell_angle_alpha 145.40
_cell_angle_beta 145.40
_cell_angle_gamma 49.74
_space_group_name_H-M_alt 'P 1'
_space_group_IT_number 1
_space_group_name_Hall 'P 1'
loop_
_atom_site_label
_atom_site_fract_x
_atom_site_fract_y
_atom_site_fract_z
Sb1 0.644 0.644 0.000
Y1 0.348 0.348 0.000
Cu1 0.008 0.008 0.000
# Density of states at the Fermi level: 2.07 states/eV/f.u.
# E_form (uncorrected): -0.317 eV/atom
# Space-group type: I4mm, No. 107


No. 4
# Y2CuSb PBE-GGA optimized geometry
data_Y2CuSb
_chemical_formula_sum 'Y4 Cu2 Sb2'
_cell_length_a 7.752
_cell_length_b 7.752
_cell_length_c 6.539
_cell_angle_alpha 53.65
_cell_angle_beta 53.65
_cell_angle_gamma 90.00
_space_group_name_H-M_alt 'P 1'
_space_group_IT_number 1
_space_group_name_Hall 'P 1'
loop_
_atom_site_label
_atom_site_fract_x
_atom_site_fract_y
_atom_site_fract_z
Y1 0.375 0.406 0.750
Cu1 0.500 0.500 0.000
Cu2 0.250 0.750 0.500
Sb1 0.750 0.250 0.500
Sb2 0.000 0.000 0.000
Y2 0.875 0.844 0.750
Y3 0.594 0.125 0.250
Y4 0.156 0.625 0.250
# Density of states at the Fermi level: 1.75 states/eV/f.u.
# E_form (uncorrected): -0.345 eV/atom
# Space-group type: I-42d, No. 122